Record 1
Ca3Ac8Pm | PBE | relaxed

Results
Uncorrected energy (eV/cell): -37.5

a = 9.4764 Å, b = 9.4764 Å, c = 9.4764 Å
α = 119.13°, β = 119.13°, γ = 91.52°
Last column: nearest neighbours and their distance in Å.
Positions (direct):
Ca 0.0000 0.0000 0.0000  8 Ac 3.68-4.04
Ca 0.2500 0.7500 0.5000  4 Ac 3.77
Ca 0.7500 0.2500 0.5000  4 Ac 3.77
Ac 0.1428 0.4051 0.0000  1 Pm 3.48, 3 Ac 3.56-3.76, 2 Ca 3.77
Ac 0.2291 0.2291 0.5360  1 Pm 3.19
Ac 0.3069 0.7709 0.0000  1 Pm 3.19
Ac 0.4051 0.1428 0.0000  1 Pm 3.48, 3 Ac 3.56-3.76, 2 Ca 3.77
Ac 0.5949 0.5949 0.7378  1 Pm 3.48, 3 Ac 3.56-3.76, 2 Ca 3.77
Ac 0.6931 0.6931 0.4640  1 Pm 3.19
Ac 0.7709 0.3069 0.0000  1 Pm 3.19
Ac 0.8572 0.8572 0.2622  1 Pm 3.48, 3 Ac 3.56-3.76, 2 Ca 3.77
Pm 0.5000 0.5000 0.0000  8 Ac 3.19-3.48

***

Record 2
CaAc4Pm | PBE | relaxed

Results
Excess energy over the best structure of this formula in the dataset (eV per atom): 0.000
Uncorrected energy (eV/cell): -46.0

a = 10.1256 Å, b = 6.8607 Å, c = 7.4477 Å
α = 90.00°, β = 96.46°, γ = 90.00°
Last column: nearest neighbours and their distance in Å.
Positions (direct):
Ca 0.0000 0.0772 0.2500  2 Ca 3.87, 10 Ac 3.93-4.01
Ca 0.0000 0.9228 0.7500  2 Ca 3.87, 10 Ac 3.93-4.01
Ac 0.1725 0.4211 0.9240  2 Pm 3.85-3.88, 7 Ac 3.86-4.11, 3 Ca 3.93-4.01
Ac 0.1725 0.5789 0.4240  2 Pm 3.85-3.88, 7 Ac 3.86-4.11, 3 Ca 3.93-4.01
Ac 0.3371 0.0923 0.5826  3 Pm 3.86-4.03, 7 Ac 3.86-4.02, 2 Ca 3.94-3.99
Ac 0.3371 0.9077 0.0826  3 Pm 3.86-4.03, 7 Ac 3.86-4.02, 2 Ca 3.94-3.99
Ac 0.6629 0.0923 0.9174  3 Pm 3.86-4.03, 7 Ac 3.86-4.02, 2 Ca 3.94-3.99
Ac 0.6629 0.9077 0.4174  3 Pm 3.86-4.03, 7 Ac 3.86-4.02, 2 Ca 3.94-3.99
Ac 0.8275 0.4211 0.5760  2 Pm 3.85-3.88, 7 Ac 3.86-4.11, 3 Ca 3.93-4.01
Ac 0.8275 0.5789 0.0760  2 Pm 3.85-3.88, 7 Ac 3.86-4.11, 3 Ca 3.93-4.01
Pm 0.5000 0.4214 0.2500  10 Ac 3.85-4.03, 2 Pm 3.88
Pm 0.5000 0.5786 0.7500  10 Ac 3.85-4.03, 2 Pm 3.88

***

Record 3
CaAc14Pm | PBE | relaxed

Results
Uncorrected energy (eV/cell): -64.0

a = 11.2285 Å, b = 7.9349 Å, c = 7.9349 Å
α = 90.00°, β = 90.00°, γ = 90.00°
Last column: nearest neighbours and their distance in Å.
Positions (direct):
Ca 0.0000 0.0000 0.0000  12 Ac 3.96-3.98
Ac 0.0000 0.5009 0.9989  8 Ac 3.95, 2 Pm 3.96-3.98, 2 Ca 3.96-3.97
Ac 0.0000 0.9989 0.5009  8 Ac 3.95, 2 Pm 3.96-3.98, 2 Ca 3.96-3.97
Ac 0.2471 0.2527 0.2527  10 Ac 3.92-4.01, 1 Pm 3.92, 1 Ca 3.97
Ac 0.2479 0.2528 0.7469  10 Ac 3.92-4.01, 1 Pm 3.93, 1 Ca 3.98
Ac 0.2479 0.7469 0.2528  10 Ac 3.92-4.01, 1 Pm 3.93, 1 Ca 3.98
Ac 0.2489 0.7471 0.7471  10 Ac 3.92-4.01, 1 Pm 3.94, 1 Ca 3.98
Ac 0.5000 0.0000 0.0000  12 Ac 3.96-4.01
Ac 0.5000 0.0006 0.4991  12 Ac 3.96-3.99
Ac 0.5000 0.4991 0.0006  12 Ac 3.96-3.99
Ac 0.5000 0.4997 0.4997  12 Ac 3.96-3.97
Ac 0.7511 0.7471 0.7471  10 Ac 3.92-4.01, 1 Pm 3.94, 1 Ca 3.98
Ac 0.7521 0.2528 0.7469  10 Ac 3.92-4.01, 1 Pm 3.93, 1 Ca 3.98
Ac 0.7521 0.7469 0.2528  10 Ac 3.92-4.01, 1 Pm 3.93, 1 Ca 3.98
Ac 0.7529 0.2527 0.2527  10 Ac 3.92-4.01, 1 Pm 3.92, 1 Ca 3.97
Pm 0.0000 0.5000 0.5000  12 Ac 3.92-3.98

***

Record 4
CaAc4Pm3 | PBE | relaxed

Results
Uncorrected energy (eV/cell): -32.5

a = 8.5580 Å, b = 8.5580 Å, c = 12.5905 Å
α = 126.51°, β = 126.51°, γ = 26.09°
Last column: nearest neighbours and their distance in Å.
Positions (direct):
Ca 0.0000 0.0000 0.0000  6 Ac 3.85-3.88, 2 Ca 3.86, 4 Pm 3.93
Ac 0.1256 0.1256 0.3776  5 Pm 3.74-3.84, 6 Ac 3.85-3.90, 1 Ca 3.85
Ac 0.3722 0.3722 0.1277  4 Pm 3.75-3.92, 6 Ac 3.83-3.90, 2 Ca 3.88
Ac 0.6278 0.6278 0.8723  4 Pm 3.75-3.92, 6 Ac 3.83-3.90, 2 Ca 3.88
Ac 0.8744 0.8744 0.6224  5 Pm 3.74-3.84, 6 Ac 3.85-3.90, 1 Ca 3.85
Pm 0.2451 0.2451 0.7436  6 Ac 3.74-3.92, 4 Pm 3.81-3.86, 2 Ca 3.93
Pm 0.5000 0.5000 0.5000  6 Ac 3.78-3.80, 6 Pm 3.81-3.86
Pm 0.7549 0.7549 0.2564  6 Ac 3.74-3.92, 4 Pm 3.81-3.86, 2 Ca 3.93

***

Record 5
CaAc4Pm6 | PBE | relaxed

Results
Uncorrected energy (eV/cell): -43.9

a = 9.8190 Å, b = 9.8190 Å, c = 9.8190 Å
α = 136.73°, β = 136.73°, γ = 62.85°
Last column: nearest neighbours and their distance in Å.
Positions (direct):
Ca 0.0000 0.0000 0.0000  8 Pm 3.62-3.89, 4 Ac 3.66
Ac 0.0094 0.6231 0.0000  5 Pm 3.64-4.05, 1 Ca 3.66, 1 Ac 3.96
Ac 0.3769 0.3769 0.3863  5 Pm 3.64-4.05, 1 Ca 3.66, 1 Ac 3.96
Ac 0.6231 0.0094 0.0000  5 Pm 3.64-4.05, 1 Ca 3.66, 1 Ac 3.96
Ac 0.9906 0.9906 0.6137  5 Pm 3.64-4.05, 1 Ca 3.66, 1 Ac 3.96
Pm 0.0000 0.5000 0.5000  4 Pm 3.21
Pm 0.2426 0.2426 0.6859  3 Pm 3.21-3.22
Pm 0.4433 0.7574 0.0000  3 Pm 3.21-3.22
Pm 0.5000 0.0000 0.5000  4 Pm 3.21
Pm 0.5567 0.5567 0.3141  3 Pm 3.21-3.22
Pm 0.7574 0.4433 0.0000  3 Pm 3.21-3.22

***

Record 6
CaAc12Pm7 | PBE | relaxed

Results
Uncorrected energy (eV/cell): -73.0

a = 10.6313 Å, b = 10.6313 Å, c = 10.6313 Å
α = 109.47°, β = 109.47°, γ = 109.47°
Last column: nearest neighbours and their distance in Å.
Positions (direct):
Ca 0.0000 0.0000 0.0000  12 Ac 4.50
Ac 0.0750 0.7811 0.2939  2 Pm 3.14
Ac 0.2189 0.2939 0.5128  2 Pm 3.14
Ac 0.2189 0.7061 0.9250  2 Pm 3.14
Ac 0.2939 0.0750 0.7811  2 Pm 3.14
Ac 0.2939 0.5128 0.2189  2 Pm 3.14
Ac 0.4872 0.7811 0.7061  2 Pm 3.14
Ac 0.5128 0.2189 0.2939  2 Pm 3.14
Ac 0.7061 0.4872 0.7811  2 Pm 3.14
Ac 0.7061 0.9250 0.2189  2 Pm 3.14
Ac 0.7811 0.2939 0.0750  2 Pm 3.14
Ac 0.7811 0.7061 0.4872  2 Pm 3.14
Ac 0.9250 0.2189 0.7061  2 Pm 3.14
Pm 0.0000 0.0000 0.5000  6 Ac 3.14
Pm 0.0000 0.5000 0.0000  6 Ac 3.14
Pm 0.0000 0.5000 0.5000  4 Ac 3.69
Pm 0.5000 0.0000 0.0000  6 Ac 3.14
Pm 0.5000 0.0000 0.5000  4 Ac 3.69
Pm 0.5000 0.5000 0.0000  4 Ac 3.69
Pm 0.5000 0.5000 0.5000  6 Ac 3.14

***

Record 7
Ca2Ac12Pm | PBE | relaxed

Results
Uncorrected energy (eV/cell): -105.7

a = 7.1907 Å, b = 7.1907 Å, c = 28.0686 Å
α = 90.00°, β = 90.00°, γ = 90.00°
Last column: nearest neighbours and their distance in Å.
Positions (direct):
Ca 0.2500 0.7500 0.2279  8 Ac 4.01-4.04
Ca 0.2500 0.7500 0.7721  8 Ac 4.01-4.04
Ca 0.7500 0.2500 0.2279  8 Ac 4.01-4.04
Ca 0.7500 0.2500 0.7721  8 Ac 4.01-4.04
Ac 0.0642 0.5642 0.3928  1 Pm 3.55, 7 Ac 3.71-3.88
Ac 0.0642 0.9358 0.6072  1 Pm 3.55, 7 Ac 3.71-3.88
Ac 0.0785 0.5785 0.0606  8 Ac 3.49-3.90
Ac 0.0785 0.9215 0.9394  8 Ac 3.49-3.90
Ac 0.2500 0.2500 0.1620  5 Ac 3.63-3.90, 4 Ca 4.04
Ac 0.2500 0.2500 0.2912  5 Ac 3.63-3.88, 4 Ca 4.01
Ac 0.2500 0.2500 0.7088  5 Ac 3.63-3.88, 4 Ca 4.01
Ac 0.2500 0.2500 0.8380  5 Ac 3.63-3.90, 4 Ca 4.04
Ac 0.4215 0.5785 0.9394  8 Ac 3.49-3.90
Ac 0.4215 0.9215 0.0606  8 Ac 3.49-3.90
Ac 0.4358 0.5642 0.6072  1 Pm 3.55, 7 Ac 3.71-3.88
Ac 0.4358 0.9358 0.3928  1 Pm 3.55, 7 Ac 3.71-3.88
Ac 0.5642 0.0642 0.6072  1 Pm 3.55, 7 Ac 3.71-3.88
Ac 0.5642 0.4358 0.3928  1 Pm 3.55, 7 Ac 3.71-3.88
Ac 0.5785 0.0785 0.9394  8 Ac 3.49-3.90
Ac 0.5785 0.4215 0.0606  8 Ac 3.49-3.90
Ac 0.7500 0.7500 0.1620  5 Ac 3.63-3.90, 4 Ca 4.04
Ac 0.7500 0.7500 0.2912  5 Ac 3.63-3.88, 4 Ca 4.01
Ac 0.7500 0.7500 0.7088  5 Ac 3.63-3.88, 4 Ca 4.01
Ac 0.7500 0.7500 0.8380  5 Ac 3.63-3.90, 4 Ca 4.04
Ac 0.9215 0.0785 0.0606  8 Ac 3.49-3.90
Ac 0.9215 0.4215 0.9394  8 Ac 3.49-3.90
Ac 0.9358 0.0642 0.3928  1 Pm 3.55, 7 Ac 3.71-3.88
Ac 0.9358 0.4358 0.6072  1 Pm 3.55, 7 Ac 3.71-3.88
Pm 0.2500 0.7500 0.5000  4 Ac 3.55
Pm 0.7500 0.2500 0.5000  4 Ac 3.55

***

Record 8
Ca4Ac2Pm | PBE | relaxed

Results
Uncorrected energy (eV/cell): -20.6

a = 9.5724 Å, b = 9.5724 Å, c = 9.5724 Å
α = 37.36°, β = 37.36°, γ = 37.36°
Last column: nearest neighbours and their distance in Å.
Positions (direct):
Ca 0.0698 0.0698 0.0698  4 Ac 3.71-3.83, 4 Ca 3.72
Ca 0.3607 0.3607 0.3607  6 Ca 3.72-3.83, 1 Pm 3.72, 1 Ac 4.06
Ca 0.6393 0.6393 0.6393  6 Ca 3.72-3.83, 1 Pm 3.72, 1 Ac 4.06
Ca 0.9302 0.9302 0.9302  4 Ac 3.71-3.83, 4 Ca 3.72
Ac 0.2086 0.2086 0.2086  5 Ca 3.71-4.06, 3 Pm 3.71
Ac 0.7914 0.7914 0.7914  5 Ca 3.71-4.06, 3 Pm 3.71
Pm 0.5000 0.5000 0.5000  6 Ac 3.71, 2 Ca 3.72

***

| no. | energy of formation from the pure elements (eV per atom) |
| --- | --- |
| 1 | 0.508 |
| 2 | 0.034 |
| 3 | 0.016 |
| 4 | 0.029 |
| 5 | 0.275 |
| 6 | 0.576 |
| 7 | 0.346 |
| 8 | 0.059 |